Entry 1:
The following is a DFT calculation (PBE) of Dy5ZrRh6 after structural relaxation.

a b c (Å): 4.756 6.958 7.543
angles (deg): 90.00 108.15 90.00
Element x y z (fractional)
Dy: 0.000 0.000 0.000
Dy: 0.333 0.500 0.666
Dy: 0.334 0.000 0.667
Dy: 0.666 0.000 0.333
Dy: 0.667 0.500 0.334
Zr: 0.000 0.500 0.000
Rh: 0.161 0.256 0.321
Rh: 0.161 0.744 0.321
Rh: 0.500 0.266 0.000
Rh: 0.500 0.734 0.000
Rh: 0.839 0.256 0.679
Rh: 0.839 0.744 0.679

Calculated values
crystal system	monoclinic

***

Entry 2:
The following is a DFT calculation (PBE) of DyZrRh after structural relaxation.

a b c (Å): 6.108 6.108 6.108
angles (deg): 147.55 147.55 46.55
Element x y z (fractional)
Dy: 0.000 0.000 0.000
Zr: 0.291 0.291 0.000
Rh: 0.665 0.665 0.000

Calculated values
energy relative to the lowest polymorph listed for this composition	0.37	eV per formula unit
crystal system	tetragonal

***

Entry 3:
The following is a DFT calculation (PBE) of DyZr2Rh after structural relaxation.

a b c (Å): 5.999 5.999 7.361
angles (deg): 90.00 90.00 136.16
Element x y z (fractional)
Dy: 0.054 0.946 0.750
Dy: 0.946 0.054 0.250
Zr: 0.356 0.644 0.542
Zr: 0.356 0.644 0.958
Zr: 0.644 0.356 0.042
Zr: 0.644 0.356 0.458
Rh: 0.212 0.788 0.250
Rh: 0.788 0.212 0.750

Calculated values
energy relative to the lowest polymorph listed for this composition	0.00	eV per formula unit
crystal system	orthorhombic

***

Entry 4:
The following is a DFT calculation (PBE) of DyZrRh after structural relaxation.

a b c (Å): 4.611 4.611 6.623
angles (deg): 90.00 90.00 90.00
Element x y z (fractional)
Dy: 0.250 0.250 0.129
Dy: 0.750 0.750 0.871
Zr: 0.250 0.750 0.500
Zr: 0.750 0.250 0.500
Rh: 0.250 0.250 0.710
Rh: 0.750 0.750 0.290

Calculated values
energy relative to the lowest polymorph listed for this composition	0.06	eV per formula unit
crystal system	tetragonal

***

Entry 5:
The following is a DFT calculation (PBE) of DyZrRh after structural relaxation.

a b c (Å): 4.702 7.024 7.024
angles (deg): 119.99 90.00 90.00
Element x y z (fractional)
Dy: 0.000 0.000 0.000
Dy: 0.000 0.177 0.588
Dy: 0.000 0.588 0.177
Zr: 0.500 0.332 0.332
Zr: 0.500 0.588 0.845
Zr: 0.500 0.845 0.588
Rh: 0.000 0.590 0.590
Rh: 0.500 0.255 0.922
Rh: 0.500 0.922 0.255

Calculated values
energy relative to the lowest polymorph listed for this composition	0.00	eV per formula unit
crystal system	orthorhombic

***

Entry 6:
The following is a DFT calculation (PBE) of Dy2ZrRh after structural relaxation.

a b c (Å): 10.494 10.494 10.494
angles (deg): 18.41 18.41 18.41
Element x y z (fractional)
Dy: 0.102 0.102 0.102
Dy: 0.898 0.898 0.898
Zr: 0.000 0.000 0.000
Rh: 0.500 0.500 0.500

Calculated values
energy relative to the lowest polymorph listed for this composition	1.47	eV per formula unit
crystal system	trigonal

***

Entry 7:
The following is a DFT calculation (PBE) of Dy6Ru5 after structural relaxation.

a b c (Å): 8.270 8.270 4.838
angles (deg): 106.92 106.92 48.33
Element x y z (fractional)
Dy: 0.083 0.583 0.333
Dy: 0.249 0.751 0.000
Dy: 0.417 0.917 0.667
Dy: 0.583 0.083 0.333
Dy: 0.751 0.249 0.000
Dy: 0.917 0.417 0.667
Ru: 0.000 0.000 0.500
Ru: 0.163 0.163 0.163
Ru: 0.329 0.329 0.829
Ru: 0.671 0.671 0.171
Ru: 0.837 0.837 0.837

Calculated values
crystal system	monoclinic

***

Entry 8:
The following is a DFT calculation (PBE) of Dy4Ru after structural relaxation.

a b c (Å): 5.384 5.384 5.384
angles (deg): 90.00 90.00 90.00
Element x y z (fractional)
Dy: 0.000 0.000 0.000
Dy: 0.000 0.500 0.500
Dy: 0.500 0.000 0.500
Dy: 0.500 0.500 0.000
Ru: 0.500 0.500 0.500

Calculated values
crystal system	cubic

***

Entry 9:
The following is a DFT calculation (PBE) of DyRu2 after structural relaxation.

a b c (Å): 5.253 5.253 8.986
angles (deg): 90.00 90.00 120.00
Element x y z (fractional)
Dy: 0.333 0.667 0.067
Dy: 0.333 0.667 0.433
Dy: 0.667 0.333 0.567
Dy: 0.667 0.333 0.933
Ru: 0.000 0.000 0.000
Ru: 0.000 0.000 0.500
Ru: 0.170 0.341 0.750
Ru: 0.170 0.830 0.750
Ru: 0.341 0.170 0.250
Ru: 0.659 0.830 0.750
Ru: 0.830 0.170 0.250
Ru: 0.830 0.659 0.250

Calculated values
crystal system	hexagonal

***

Entry 10:
The following is a DFT calculation (PBE) of Dy4Ru3 after structural relaxation.

a b c (Å): 8.073 8.073 8.073
angles (deg): 35.10 35.10 35.10
Element x y z (fractional)
Dy: 0.124 0.124 0.124
Dy: 0.374 0.374 0.374
Dy: 0.626 0.626 0.626
Dy: 0.876 0.876 0.876
Ru: 0.249 0.249 0.249
Ru: 0.500 0.500 0.500
Ru: 0.751 0.751 0.751

Calculated values
crystal system	trigonal

***

Entry 11:
The following is a DFT calculation (PBE) of Dy3Ru2 after structural relaxation.

a b c (Å): 5.673 5.673 10.178
angles (deg): 90.00 90.00 135.41
Element x y z (fractional)
Dy: 0.087 0.913 0.750
Dy: 0.351 0.649 0.568
Dy: 0.351 0.649 0.932
Dy: 0.649 0.351 0.068
Dy: 0.649 0.351 0.432
Dy: 0.913 0.087 0.250
Ru: 0.000 0.000 0.000
Ru: 0.000 0.000 0.500
Ru: 0.192 0.808 0.250
Ru: 0.808 0.192 0.750

Calculated values
energy relative to the lowest polymorph listed for this composition	0.10	eV per formula unit
crystal system	orthorhombic

***

Entry 12:
The following is a DFT calculation (PBE) of Dy5Ru4 after structural relaxation.

a b c (Å): 5.618 5.618 9.670
angles (deg): 109.12 109.12 45.47
Element x y z (fractional)
Dy: 0.000 0.000 0.000
Dy: 0.112 0.112 0.395
Dy: 0.245 0.245 0.825
Dy: 0.755 0.755 0.175
Dy: 0.888 0.888 0.605
Ru: 0.397 0.397 0.386
Ru: 0.450 0.450 0.151
Ru: 0.550 0.550 0.849
Ru: 0.603 0.603 0.614

Calculated values
crystal system	monoclinic

***

no.,formation energy (meV per atom),DFT total energy (eV/atom)
1,-857.0,-7.163
2,-462.3,-7.296
3,-389.9,-7.652
4,-565.8,-7.400
5,-586.8,-7.421
6,21.6,-6.254
7,-316.9,-7.043
8,-47.2,-5.584
9,-325.7,-8.044
10,-279.6,-6.885
11,-260.4,-6.732
12,-281.8,-6.961